No. 1
Density functional theory data (PBE) for an optimized crystal structure of ScZnSb.

Structure (POSCAR):
```
ScZnSb
1.0
-0.656 1.270 -4.048
-1.684 -3.696 1.390
-3.371 1.975 1.166
Sb Sc Zn
1 1 1
Direct
0.000 0.000 0.941
0.667 0.333 0.380
0.333 0.667 0.680
```

## Properties
Magnetization   0.00 μB per formula unit
Symmetry   P3m1 (156)
ΔE_f (raw)   -0.420 eV/atom

---

No. 2
Density functional theory data (PBE) for an optimized crystal structure of TmCoGe3Ir.

Structure (POSCAR):
```
TmCoGe3Ir
1.0
-0.689 -4.762 -2.910
5.878 0.527 -2.253
-0.619 -3.792 6.353
Ir Ge Tm Co
2 6 2 2
Direct
0.750 0.614 0.228
0.250 0.386 0.772
0.500 0.719 0.000
0.500 0.281 0.000
0.250 0.214 0.428
0.000 0.281 0.000
0.750 0.786 0.572
0.000 0.719 0.000
0.750 0.170 0.340
0.250 0.830 0.660
0.750 0.951 0.902
0.250 0.049 0.098
```

## Properties
Magnetization   0.00 μB per formula unit
Formation energy   -26.3 kJ per mole of atoms
Symmetry   Cmcm (63)

---

No. 3
Density functional theory data (PBE) for an optimized crystal structure of Al2Ir2Pb.

Structure (POSCAR):
```
Al2Ir2Pb
1.0
-4.673 -5.213 3.079
3.508 0.839 6.744
-1.873 2.101 0.713
Al Ir Pb
4 4 2
Direct
0.632 0.132 0.000
0.132 0.368 0.000
0.368 0.868 0.000
0.868 0.632 0.000
0.846 0.346 0.500
0.346 0.154 0.500
0.154 0.654 0.500
0.654 0.846 0.500
0.000 0.000 0.000
0.500 0.500 0.000
```

## Properties
Magnetization   0.00 μB per formula unit
Formation energy   -31.6 kJ per mole of atoms
Symmetry   P4/mbm (127)

---

No. 4
Density functional theory data (PBE) for an optimized crystal structure of Y3Se.

Structure (POSCAR):
```
Y3Se
1.0
-2.826 7.839 -5.124
-5.132 5.179 -6.522
-6.029 6.961 -3.302
Y Se
3 1
Direct
0.732 0.732 0.732
0.500 0.500 0.500
0.268 0.268 0.268
0.000 0.000 0.000
```

## Properties
Magnetization   0.28 μB per formula unit
Symmetry   R-3m (166)
ΔE_f (raw)   -0.823 eV/atom

---

No. 5
Density functional theory data (PBE) for an optimized crystal structure of SrInI3.

Structure (POSCAR):
```
SrInI3
1.0
6.147 0.000 0.000
0.000 6.147 0.000
0.000 0.000 6.147
I Sr In
3 1 1
Direct
0.000 0.000 0.500
0.500 0.000 0.000
0.000 0.500 0.000
0.500 0.500 0.500
0.000 0.000 0.000
```

## Properties
Magnetization   0.00 μB per formula unit
Symmetry   Pm-3m (221)
ΔE_f (raw)   -0.675 eV/atom